(1)
Here is a relaxed structure of Ca2SmRuO6 from Alexandria. Energies are from PBE.

Unit cell a=5.638 b=5.887 c=8.137 alpha=90.00 beta=90.69 gamma=90.00
Positions (direct):
O1 0.118 0.448 0.772
Ca1 0.518 0.557 0.752
O2 0.826 0.781 0.931
O3 0.382 0.948 0.728
Ru1 0.500 0.000 0.500
O4 0.716 0.318 0.943
Ca2 0.482 0.443 0.248
O5 0.174 0.219 0.069
O6 0.326 0.719 0.431
O7 0.618 0.052 0.272
O8 0.674 0.281 0.569
O9 0.284 0.682 0.057
O10 0.882 0.552 0.228
Ca3 0.982 0.057 0.748
Sm1 0.000 0.500 0.500
O11 0.216 0.182 0.443
O12 0.784 0.818 0.557
Ru2 0.000 0.500 0.000
Ca4 0.018 0.943 0.252
Sm2 0.500 0.000 0.000

## Properties
uncorrected energy = -143.2 eV/cell
symmetry = P2_1/c

=====

(2)
Here is a relaxed structure of TiBeGa from Alexandria. Energies are from PBE.

Unit cell a=3.989 b=3.989 c=5.804 alpha=90.00 beta=90.00 gamma=120.00
Positions (direct):
Ga1 0.333 0.167 0.750
Ti1 0.000 0.500 0.500
Ti2 0.000 0.500 0.000
Be1 0.666 0.834 0.750
Ga2 0.667 0.833 0.250
Be2 0.334 0.166 0.250

## Properties
uncorrected energy = -31.6 eV/cell
symmetry = P6_3/mmc
formation energy = -1.143 eV per formula unit
energy above the lowest structure with this stoichiometry = 0.000 eV per formula unit

=====

(3)
Here is a relaxed structure of Ta2AsRu from Alexandria. Energies are from PBE.

Unit cell a=5.167 b=5.167 c=4.533 alpha=63.94 beta=63.94 gamma=37.09
Positions (direct):
As1 0.250 0.250 0.250
Ta1 0.503 0.503 0.497
Ru1 0.750 0.750 0.750
Ta2 0.997 0.997 0.003

## Properties
uncorrected energy = -38.3 eV/cell
symmetry = Immm
formation energy = -0.668 eV per formula unit

=====

(4)
Here is a relaxed structure of PrHoCuPd from Alexandria. Energies are from PBE.

Unit cell a=5.040 b=5.040 c=5.040 alpha=60.00 beta=60.00 gamma=60.00
Positions (direct):
Cu1 0.000 0.000 0.000
Ho1 0.750 0.750 0.750
Pr1 0.250 0.250 0.250
Pd1 0.500 0.500 0.500

## Properties
uncorrected energy = -20.6 eV/cell
symmetry = F-43m
formation energy = -1.962 eV per formula unit
energy above the lowest structure with this stoichiometry = 0.148 eV per formula unit

=====

(5)
Here is a relaxed structure of Nd2AsPt6 from Alexandria. Energies are from PBE.

Unit cell a=5.718 b=5.703 c=6.270 alpha=78.45 beta=90.00 gamma=120.08
Positions (direct):
Pt1 0.881 0.273 0.686
Pt2 0.119 0.727 0.314
Pt3 0.607 0.727 0.314
Nd1 0.641 0.283 0.148
Pt4 0.877 0.755 0.695
As1 0.000 0.000 0.000
Nd2 0.359 0.717 0.852
Pt5 0.123 0.245 0.305
Pt6 0.393 0.273 0.686

## Properties
uncorrected energy = -58.2 eV/cell
symmetry = C2/m
formation energy = -7.803 eV per formula unit

=====

(6)
Here is a relaxed structure of YZn2Se from Alexandria. Energies are from PBE.

Unit cell a=4.061 b=3.989 c=5.170 alpha=90.00 beta=90.00 gamma=90.00
Positions (direct):
Y1 0.000 0.500 0.500
Zn1 0.000 0.000 0.000
Zn2 0.500 0.500 0.000
Se1 0.500 0.000 0.500

## Properties
uncorrected energy = -14.9 eV/cell
symmetry = Pmmm

=====

(7)
Here is a relaxed structure of PaTaC2 from Alexandria. Energies are from PBE.

Unit cell a=3.366 b=5.838 c=11.274 alpha=90.00 beta=90.00 gamma=90.00
Positions (direct):
C1 0.250 0.758 0.507
Pa1 0.750 0.583 0.359
C2 0.750 0.162 0.754
C3 0.750 0.662 0.746
Pa2 0.250 0.917 0.859
Ta1 0.250 0.085 0.395
Pa3 0.750 0.083 0.141
C4 0.750 0.742 0.007
Ta2 0.750 0.415 0.895
C5 0.250 0.338 0.254
C6 0.750 0.242 0.493
Pa4 0.250 0.417 0.641
Ta3 0.250 0.585 0.105
Ta4 0.750 0.915 0.605
C7 0.250 0.258 0.993
C8 0.250 0.838 0.246

## Properties
uncorrected energy = -168.9 eV/cell
symmetry = Pnma
formation energy = -2.424 eV per formula unit
energy above the lowest structure with this stoichiometry = 0.000 eV per formula unit

=====

(8)
Here is a relaxed structure of CaNb2SeI from Alexandria. Energies are from PBE.

Unit cell a=4.798 b=6.977 c=4.798 alpha=90.00 beta=90.00 gamma=90.00
Positions (direct):
Ca1 0.500 0.500 0.500
Nb1 0.000 0.000 0.500
I1 0.000 0.500 0.000
Se1 0.000 0.000 0.000
Nb2 0.500 0.000 0.000

## Properties
uncorrected energy = -24.8 eV/cell
symmetry = P4/mmm

=====

(9)
Here is a relaxed structure of Ce2SmScBi5 from Alexandria. Energies are from PBE.

Unit cell a=5.601 b=5.601 c=11.499 alpha=90.00 beta=90.00 gamma=90.00
Positions (direct):
Ce1 0.500 0.500 0.292
Sc1 0.000 0.000 0.000
Bi1 0.500 0.000 0.500
Sm1 0.000 0.000 0.500
Bi2 0.500 0.500 0.000
Ce2 0.500 0.500 0.708
Bi3 0.000 0.500 0.500
Bi4 0.000 0.000 0.238
Bi5 0.000 0.000 0.762

## Properties
uncorrected energy = -42.3 eV/cell
symmetry = P4/mmm
formation energy = 0.017 eV per formula unit

=====

(10)
Here is a relaxed structure of HfVTeSe2 from Alexandria. Energies are from PBE.

Unit cell a=4.734 b=5.387 c=4.734 alpha=90.00 beta=90.00 gamma=90.00
Positions (direct):
Te1 0.000 0.500 0.000
V1 0.000 0.000 0.000
Se1 0.500 0.000 0.000
Se2 0.000 0.000 0.500
Hf1 0.500 0.500 0.500

## Properties
uncorrected energy = -28.5 eV/cell
symmetry = P4/mmm
energy above the lowest structure with this stoichiometry = 0.460 eV per formula unit

=====

(11)
Here is a relaxed structure of Tb2GeIr from Alexandria. Energies are from PBE.

Unit cell a=4.156 b=5.825 c=8.120 alpha=111.88 beta=90.00 gamma=90.00
Positions (direct):
Ir1 0.750 0.647 0.787
Tb1 0.250 0.774 0.590
Tb2 0.750 0.214 0.943
Tb3 0.750 0.226 0.410
Ge1 0.750 0.667 0.294
Ir2 0.250 0.353 0.213
Ge2 0.250 0.333 0.706
Tb4 0.250 0.786 0.057

## Properties
uncorrected energy = -52.3 eV/cell
symmetry = P2_1/m
formation energy = -3.425 eV per formula unit

=====

(12)
Here is a relaxed structure of BaLaTmO4 from Alexandria. Energies are from PBE.

Unit cell a=6.072 b=6.170 c=7.155 alpha=90.00 beta=115.11 gamma=90.00
Positions (direct):
La1 0.889 0.750 0.777
O1 0.058 0.750 0.117
Ba1 0.604 0.750 0.208
O2 0.414 0.750 0.829
O3 0.942 0.250 0.883
O4 0.586 0.250 0.171
Ba2 0.396 0.250 0.792
O5 0.000 0.500 0.500
Tm1 0.250 0.750 0.499
O6 0.500 0.000 0.500
O7 0.500 0.500 0.500
O8 0.000 0.000 0.500
Tm2 0.750 0.250 0.501
La2 0.111 0.250 0.223

## Properties
uncorrected energy = -106.0 eV/cell
symmetry = Cmcm

=====

(13)
Here is a relaxed structure of Mg2AsO4 from Alexandria. Energies are from PBE.

Unit cell a=4.956 b=4.956 c=5.452 alpha=117.03 beta=117.03 gamma=90.00
Positions (direct):
O1 0.844 0.423 0.267
Mg1 0.750 0.250 0.500
O2 0.156 0.156 0.733
Mg2 0.250 0.750 0.500
O3 0.577 0.577 0.733
O4 0.423 0.844 0.267
As1 0.500 0.500 0.000

## Properties
uncorrected energy = -40.7 eV/cell
symmetry = I-42m